# RbAcSnS3 (GGA-PBE, optimized geometry)
# **Formation energy without anion corrections**: -1370.0 meV/atom
# **Electronic total energy**: -29.7 eV per formula unit
data_RbAcSnS3
_chemical_formula_sum 'Rb2 Ac2 Sn2 S6'
_cell_length_a 8.5536
_cell_length_b 4.2904
_cell_length_c 12.0296
_cell_angle_alpha 90.00
_cell_angle_beta 104.88
_cell_angle_gamma 90.00
_symmetry_space_group_name_H-M 'P 1 21/m 1'
_symmetry_Int_Tables_number 11
_symmetry_space_group_name_Hall '-P 2yb'
loop_
_atom_site_label
_atom_site_type_symbol
_atom_site_fract_x
_atom_site_fract_y
_atom_site_fract_z
Rb1 Rb 0.2450 0.2500 0.2688
Ac1 Ac 0.3391 0.7500 0.8550
Sn1 Sn 0.1479 0.2500 0.5712
S1 S 0.0866 0.2500 0.7683
S2 S 0.3431 0.7500 0.6060
S3 S 0.4142 0.7500 0.1091